Record 1
Here is a relaxed ZrSc3F crystal from Alexandria via LeMat-Bulk. Energies are from PBE.

abc: 5.2468 5.2468 5.2468
angles: 90.00 90.00 90.00
Element x y z (fractional)
Zr1 0.0000 0.0000 0.0000
Sc1 0.0000 0.0000 0.5000
Sc2 0.0000 0.5000 0.0000
Sc3 0.5000 0.0000 0.0000
F1 0.5000 0.5000 0.5000

Calculated values
formation energy without anion corrections	513	meV/atom
calculated total energy	-5.37	eV/atom

---

Record 2
Here is a relaxed SeF4 crystal from Alexandria via LeMat-Bulk. Energies are from PBE.

abc: 4.0176 4.0176 4.0176
angles: 90.00 90.00 90.00
Element x y z (fractional)
Se1 0.0000 0.0000 0.0000
F1 0.0000 0.0000 0.5000
F2 0.0000 0.5000 0.0000
F3 0.5000 0.0000 0.0000
F4 0.5000 0.5000 0.5000

Calculated values
formation energy without anion corrections	-954	meV/atom
calculated total energy	-3.15	eV/atom

---

Record 3
Here is a relaxed SeF4 crystal from Alexandria via LeMat-Bulk. Energies are from PBE.

abc: 5.3415 5.5679 5.8910
angles: 90.00 97.38 90.00
Element x y z (fractional)
Se1 0.2356 0.0000 0.3732
Se2 0.7644 0.5000 0.6268
F1 0.0050 0.2573 0.3596
F2 0.0264 0.8573 0.1669
F3 0.3912 0.1531 0.1760
F4 0.4606 0.7430 0.3495
F5 0.5394 0.2430 0.6505
F6 0.6088 0.6531 0.8240
F7 0.9736 0.3573 0.8331
F8 0.9950 0.7573 0.6404

Calculated values
formation energy without anion corrections	-1729	meV/atom
calculated total energy	-3.92	eV/atom

---

Record 4
Here is a relaxed Se4F crystal from Alexandria via LeMat-Bulk. Energies are from PBE.

abc: 4.6795 4.6795 4.6795
angles: 90.00 90.00 90.00
Element x y z (fractional)
Se1 0.0000 0.0000 0.0000
Se2 0.0000 0.5000 0.5000
Se3 0.5000 0.0000 0.5000
Se4 0.5000 0.5000 0.0000
F1 0.5000 0.5000 0.5000

Calculated values
formation energy without anion corrections	689	meV/atom
calculated total energy	-2.47	eV/atom

---

Record 5
Here is a relaxed SeF4 crystal from Alexandria via LeMat-Bulk. Energies are from PBE.

abc: 5.5102 5.8822 10.7812
angles: 90.00 90.00 90.00
Element x y z (fractional)
Se1 0.1513 0.1134 0.1214
Se2 0.3487 0.8866 0.6214
Se3 0.6513 0.3866 0.8786
Se4 0.8487 0.6134 0.3786
F1 0.0106 0.8636 0.2003
F2 0.0996 0.9145 0.7195
F3 0.1785 0.6533 0.5381
F4 0.2372 0.0741 0.5107
F5 0.2628 0.9259 0.0107
F6 0.3215 0.3467 0.0381
F7 0.4004 0.0855 0.2195
F8 0.4894 0.1364 0.7003
F9 0.5106 0.6364 0.7997
F10 0.5996 0.5855 0.2805
F11 0.6785 0.8467 0.4619
F12 0.7372 0.4259 0.4893
F13 0.7628 0.5741 0.9893
F14 0.8215 0.1533 0.9619
F15 0.9004 0.4145 0.7805
F16 0.9894 0.3636 0.2997

Calculated values
formation energy without anion corrections	-1734	meV/atom
calculated total energy	-3.93	eV/atom

---

Record 6
Here is a relaxed SiSeF2 crystal from Alexandria via LeMat-Bulk. Energies are from PBE.

abc: 6.0915 6.0915 6.0915
angles: 90.00 90.00 90.00
Element x y z (fractional)
Si1 0.0000 0.0000 0.0000
Si2 0.0000 0.5000 0.5000
Si3 0.5000 0.0000 0.5000
Si4 0.5000 0.5000 0.0000
Se1 0.0000 0.0000 0.5000
Se2 0.0000 0.5000 0.0000
Se3 0.5000 0.0000 0.0000
Se4 0.5000 0.5000 0.5000
F1 0.2500 0.2500 0.2500
F2 0.2500 0.2500 0.7500
F3 0.2500 0.7500 0.2500
F4 0.2500 0.7500 0.7500
F5 0.7500 0.2500 0.2500
F6 0.7500 0.2500 0.7500
F7 0.7500 0.7500 0.2500
F8 0.7500 0.7500 0.7500

Calculated values
formation energy without anion corrections	-276	meV/atom
calculated total energy	-3.44	eV/atom

---

Record 7
Here is a relaxed SiSeF2 crystal from Alexandria via LeMat-Bulk. Energies are from PBE.

abc: 3.7740 3.7740 15.6584
angles: 90.00 90.00 90.00
Element x y z (fractional)
Si1 0.0000 0.0000 0.0000
Si2 0.0000 0.5000 0.2500
Si3 0.5000 0.0000 0.7500
Si4 0.5000 0.5000 0.5000
Se1 0.0000 0.0000 0.5000
Se2 0.0000 0.5000 0.7500
Se3 0.5000 0.0000 0.2500
Se4 0.5000 0.5000 0.0000
F1 0.2248 0.2500 0.1250
F2 0.2500 0.7248 0.3750
F3 0.2500 0.7752 0.8750
F4 0.2752 0.2500 0.6250
F5 0.7248 0.7500 0.6250
F6 0.7500 0.2248 0.8750
F7 0.7500 0.2752 0.3750
F8 0.7752 0.7500 0.1250

Calculated values
formation energy without anion corrections	-754	meV/atom
calculated total energy	-3.92	eV/atom

---

Record 8
Here is a relaxed SiSeF2 crystal from Alexandria via LeMat-Bulk. Energies are from PBE.

abc: 3.0746 3.0746 29.6945
angles: 90.00 90.00 120.00
Element x y z (fractional)
Si1 0.0000 0.0000 0.0000
Si2 0.3333 0.6667 0.6667
Si3 0.6667 0.3333 0.3333
Se1 0.0000 0.0000 0.5000
Se2 0.3333 0.6667 0.1667
Se3 0.6667 0.3333 0.8333
F1 0.0000 0.0000 0.3767
F2 0.0000 0.0000 0.6233
F3 0.3333 0.6667 0.0434
F4 0.3333 0.6667 0.2899
F5 0.6667 0.3333 0.7101
F6 0.6667 0.3333 0.9566

Calculated values
formation energy without anion corrections	-850	meV/atom
calculated total energy	-4.01	eV/atom

---

Record 9
Here is a relaxed Si3SeF crystal from Alexandria via LeMat-Bulk. Energies are from PBE.

abc: 4.5197 4.5197 4.5197
angles: 90.00 90.00 90.00
Element x y z (fractional)
Si1 0.0000 0.0000 0.5000
Si2 0.0000 0.5000 0.0000
Si3 0.5000 0.0000 0.0000
Se1 0.5000 0.5000 0.5000
F1 0.0000 0.0000 0.0000

Calculated values
formation energy without anion corrections	565	meV/atom
calculated total energy	-3.76	eV/atom

---

Record 10
Here is a relaxed Si3SeF crystal from Alexandria via LeMat-Bulk. Energies are from PBE.

abc: 4.9827 4.9827 4.9827
angles: 90.00 90.00 90.00
Element x y z (fractional)
Si1 0.0000 0.0000 0.5000
Si2 0.0000 0.5000 0.0000
Si3 0.5000 0.0000 0.0000
Se1 0.0000 0.0000 0.0000
F1 0.5000 0.5000 0.5000

Calculated values
formation energy without anion corrections	945	meV/atom
calculated total energy	-3.38	eV/atom

---

Record 11
Here is a relaxed SiSe2F5 crystal from Alexandria via LeMat-Bulk. Energies are from PBE.

abc: 3.5696 5.6754 6.9294
angles: 93.78 103.02 92.35
Element x y z (fractional)
Si1 0.0000 0.0000 0.0000
Se1 0.3026 0.5399 0.6145
Se2 0.6974 0.4602 0.3855
F1 0.0695 0.2777 0.1165
F2 0.0895 0.8852 0.2191
F3 0.5000 0.0000 0.0000
F4 0.9105 0.1148 0.7809
F5 0.9305 0.7223 0.8835

Calculated values
formation energy without anion corrections	-2149	meV/atom
calculated total energy	-4.87	eV/atom

---

Record 12
Here is a relaxed SiSeF3 crystal from Alexandria via LeMat-Bulk. Energies are from PBE.

abc: 4.1735 4.1735 4.1735
angles: 90.00 90.00 90.00
Element x y z (fractional)
Si1 0.0000 0.0000 0.0000
Se1 0.5000 0.5000 0.5000
F1 0.0000 0.0000 0.5000
F2 0.0000 0.5000 0.0000
F3 0.5000 0.0000 0.0000

Calculated values
formation energy without anion corrections	-1038	meV/atom
calculated total energy	-3.94	eV/atom

---

Record 13
Here is a relaxed SiSeF2 crystal from Alexandria via LeMat-Bulk. Energies are from PBE.

abc: 2.7678 2.7678 30.0642
angles: 90.00 90.00 120.00
Element x y z (fractional)
Si1 0.0000 0.0000 0.0000
Si2 0.3333 0.6667 0.6667
Si3 0.6667 0.3333 0.3333
Se1 0.0000 0.0000 0.5000
Se2 0.3333 0.6667 0.1667
Se3 0.6667 0.3333 0.8333
F1 0.0000 0.0000 0.0544
F2 0.0000 0.0000 0.9456
F3 0.3333 0.6667 0.6123
F4 0.3333 0.6667 0.7210
F5 0.6667 0.3333 0.2790
F6 0.6667 0.3333 0.3877

Calculated values
formation energy without anion corrections	-1303	meV/atom
calculated total energy	-4.47	eV/atom

---

Record 14
Here is a relaxed SiSeF3 crystal from Alexandria via LeMat-Bulk. Energies are from PBE.

abc: 4.4123 4.4123 4.4123
angles: 90.00 90.00 90.00
Element x y z (fractional)
Si1 0.0000 0.0000 0.0000
Se1 0.5000 0.5000 0.5000
F1 0.0000 0.5000 0.5000
F2 0.5000 0.0000 0.5000
F3 0.5000 0.5000 0.0000

Calculated values
formation energy without anion corrections	-319	meV/atom
calculated total energy	-3.22	eV/atom

---

Record 15
Here is a relaxed SmSeF crystal from Alexandria via LeMat-Bulk. Energies are from PBE.

abc: 4.0867 4.0867 4.0868
angles: 90.00 90.00 120.00
Element x y z (fractional)
Sm1 0.0000 0.0000 0.0000
Se1 0.6667 0.3333 0.5000
F1 0.3333 0.6667 0.0000

Calculated values
formation energy without anion corrections	-2879	meV/atom
calculated total energy	-6.24	eV/atom

---

Record 16
Here is a relaxed SmSeF crystal from Alexandria via LeMat-Bulk. Energies are from PBE.

abc: 3.5618 3.5618 9.3035
angles: 90.00 90.00 90.00
Element x y z (fractional)
Sm1 0.0000 0.0000 0.0000
Sm2 0.5000 0.5000 0.5000
Se1 0.0000 0.0000 0.3239
Se2 0.5000 0.5000 0.8239
F1 0.0000 0.0000 0.6113
F2 0.5000 0.5000 0.1113

Calculated values
formation energy without anion corrections	-2332	meV/atom
calculated total energy	-5.69	eV/atom

---

Record 17
Here is a relaxed Sm2Se2F crystal from Alexandria via LeMat-Bulk. Energies are from PBE.

abc: 10.1669 10.1669 7.4641
angles: 95.82 95.82 24.23
Element x y z (fractional)
Sm1 0.1574 0.1574 0.3767
Sm2 0.3348 0.3348 0.1041
Sm3 0.6652 0.6652 0.8959
Sm4 0.8426 0.8426 0.6233
Se1 0.0994 0.0994 0.7006
Se2 0.4104 0.4104 0.8076
Se3 0.5896 0.5896 0.1924
Se4 0.9006 0.9006 0.2994
F1 0.2173 0.2173 0.0769
F2 0.7827 0.7827 0.9231

Calculated values
formation energy without anion corrections	-2083	meV/atom
calculated total energy	-5.74	eV/atom

---

Record 18
Here is a relaxed SmSeF2 crystal from Alexandria via LeMat-Bulk. Energies are from PBE.

abc: 3.9750 11.1926 6.7505
angles: 90.00 90.00 90.00
Element x y z (fractional)
Sm1 0.0000 0.2377 0.2500
Sm2 0.0000 0.7623 0.7500
Sm3 0.5000 0.2623 0.7500
Sm4 0.5000 0.7377 0.2500
Se1 0.0000 0.0283 0.7500
Se2 0.0000 0.9717 0.2500
Se3 0.5000 0.4717 0.2500
Se4 0.5000 0.5283 0.7500
F1 0.0000 0.3084 0.5676
F2 0.0000 0.3084 0.9324
F3 0.0000 0.6916 0.0676
F4 0.0000 0.6916 0.4324
F5 0.5000 0.1916 0.0676
F6 0.5000 0.1916 0.4324
F7 0.5000 0.8084 0.5676
F8 0.5000 0.8084 0.9324

Calculated values
formation energy without anion corrections	-2922	meV/atom
calculated total energy	-5.91	eV/atom

---

Record 19
Here is a relaxed SmSeF crystal from Alexandria via LeMat-Bulk. Energies are from PBE.

abc: 4.1503 4.1503 4.5003
angles: 90.00 90.00 90.00
Element x y z (fractional)
Sm1 0.0000 0.0000 0.0000
Se1 0.5000 0.5000 0.0000
F1 0.0000 0.0000 0.5000

Calculated values
formation energy without anion corrections	-2780	meV/atom
calculated total energy	-6.14	eV/atom

---

Record 20
Here is a relaxed Sm3Se3F2 crystal from Alexandria via LeMat-Bulk. Energies are from PBE.

abc: 6.5975 6.5975 14.2106
angles: 90.00 90.00 145.62
Element x y z (fractional)
Sm1 0.1252 0.8748 0.5506
Sm2 0.1252 0.8748 0.9494
Sm3 0.1474 0.8526 0.2500
Sm4 0.8526 0.1474 0.7500
Sm5 0.8748 0.1252 0.0506
Sm6 0.8748 0.1252 0.4494
Se1 0.1799 0.8201 0.7500
Se2 0.4482 0.5518 0.6111
Se3 0.4482 0.5518 0.8889
Se4 0.5518 0.4482 0.1111
Se5 0.5518 0.4482 0.3889
Se6 0.8201 0.1799 0.2500
F1 0.2637 0.7363 0.0662
F2 0.2637 0.7363 0.4338
F3 0.7363 0.2637 0.5662
F4 0.7363 0.2637 0.9338

Calculated values
formation energy without anion corrections	-2524	meV/atom
calculated total energy	-6.07	eV/atom

---

Record 21
Here is a relaxed Sm2Se2F crystal from Alexandria via LeMat-Bulk. Energies are from PBE.

abc: 3.6408 3.6408 12.1988
angles: 90.00 90.00 90.00
Element x y z (fractional)
Sm1 0.0000 0.0000 0.1824
Sm2 0.0000 0.0000 0.8176
Se1 0.0000 0.0000 0.4081
Se2 0.0000 0.0000 0.5919
F1 0.0000 0.0000 0.0000

Calculated values
formation energy without anion corrections	-789	meV/atom
calculated total energy	-4.45	eV/atom

---

Record 22
Here is a relaxed SmSeF crystal from Alexandria via LeMat-Bulk. Energies are from PBE.

abc: 6.5215 6.5215 6.5215
angles: 90.00 90.00 90.00
Element x y z (fractional)
Sm1 0.0000 0.0000 0.0000
Sm2 0.0000 0.5000 0.5000
Sm3 0.5000 0.0000 0.5000
Sm4 0.5000 0.5000 0.0000
Se1 0.2500 0.2500 0.7500
Se2 0.2500 0.7500 0.2500
Se3 0.7500 0.2500 0.2500
Se4 0.7500 0.7500 0.7500
F1 0.2500 0.2500 0.2500
F2 0.2500 0.7500 0.7500
F3 0.7500 0.2500 0.7500
F4 0.7500 0.7500 0.2500

Calculated values
formation energy without anion corrections	-2597	meV/atom
calculated total energy	-5.96	eV/atom

---

Record 23
Here is a relaxed SnSe3F crystal from Alexandria via LeMat-Bulk. Energies are from PBE.

abc: 4.7682 4.7682 4.7682
angles: 90.00 90.00 90.00
Element x y z (fractional)
Sn1 0.0000 0.0000 0.0000
Se1 0.0000 0.5000 0.5000
Se2 0.5000 0.0000 0.5000
Se3 0.5000 0.5000 0.0000
F1 0.5000 0.5000 0.5000

Calculated values
formation energy without anion corrections	122	meV/atom
calculated total energy	-3.14	eV/atom

---

Record 24
Here is a relaxed SnSeF crystal from Alexandria via LeMat-Bulk. Energies are from PBE.

abc: 4.0234 4.0234 4.4965
angles: 90.00 90.00 120.00
Element x y z (fractional)
Sn1 0.0000 0.0000 0.0000
Se1 0.6667 0.3333 0.6642
F1 0.3333 0.6667 0.1786

Calculated values
formation energy without anion corrections	-1029	meV/atom
calculated total energy	-4.15	eV/atom

---

Record 25
Here is a relaxed SnSe3F crystal from Alexandria via LeMat-Bulk. Energies are from PBE.

abc: 5.2965 5.2965 5.2965
angles: 90.00 90.00 90.00
Element x y z (fractional)
Sn1 0.0000 0.0000 0.0000
Se1 0.0000 0.0000 0.5000
Se2 0.0000 0.5000 0.0000
Se3 0.5000 0.0000 0.0000
F1 0.5000 0.5000 0.5000

Calculated values
formation energy without anion corrections	407	meV/atom
calculated total energy	-2.86	eV/atom

---

Record 26
Here is a relaxed SnSeF3 crystal from Alexandria via LeMat-Bulk. Energies are from PBE.

abc: 4.5132 4.5132 4.5132
angles: 90.00 90.00 90.00
Element x y z (fractional)
Sn1 0.0000 0.0000 0.0000
Se1 0.5000 0.5000 0.5000
F1 0.0000 0.5000 0.5000
F2 0.5000 0.0000 0.5000
F3 0.5000 0.5000 0.0000

Calculated values
formation energy without anion corrections	-822	meV/atom
calculated total energy	-3.44	eV/atom